1.
This record from Alexandria describes an optimized crystal structure of Pr7Ni3. The functional is PBE.

Cell and atoms, written as POSCAR:
```
Pr7Ni3
1.0
6.4175 0.0000 0.0000
0.0000 8.6719 -5.0067
0.0000 0.0000 10.0134
Pr Ni
14 6
Cartesian
3.9644 4.6725 1.9204 Pr
5.9650 2.1826 0.0000 Pr
3.9644 7.9987 0.0000 Pr
2.7562 6.4893 5.0067 Pr
0.9282 5.7813 0.0000 Pr
5.9650 7.5806 3.1165 Pr
0.7556 3.9993 6.9271 Pr
4.1370 2.8906 5.0067 Pr
3.9644 4.6725 -1.9204 Pr
2.7562 1.0913 1.8902 Pr
0.7556 0.6732 5.0067 Pr
2.7562 1.0913 8.1232 Pr
0.7556 3.9993 3.0864 Pr
5.9650 7.5806 -3.1165 Pr
5.6083 5.4022 5.0067 Ni
2.3995 7.0370 2.1751 Ni
5.6083 1.6349 7.1818 Ni
2.3995 7.0370 -2.1751 Ni
2.3995 3.2697 0.0000 Ni
5.6083 1.6349 2.8317 Ni
```

Computed properties:
Its calculated total energy is -5.26 eV/atom. For the density of states at the Fermi level, the calculation gives 11.4 states/eV/f.u.

2.
This record from Alexandria describes an optimized crystal structure of SrPr2Cd. The functional is PBE.

Cell and atoms, written as POSCAR:
```
SrPr2Cd
1.0
5.2217 0.0000 0.0000
0.0000 5.1174 0.0000
0.0000 0.0000 5.1174
Sr Pr Cd
1 2 1
Cartesian
2.6108 2.5587 2.5587 Sr
0.0000 2.5587 0.0000 Pr
0.0000 0.0000 2.5587 Pr
2.6108 0.0000 0.0000 Cd
```

Computed properties:
Its calculated total energy is -3.04 eV/atom. For the density of states at the Fermi level, the calculation gives 6.3 states/eV/f.u. For the excess energy over the best structure of this formula in the dataset, the calculation gives 0.066 eV/atom.

3.
This record from Alexandria describes an optimized crystal structure of Dy7Si2Te2. The functional is PBE.

Cell and atoms, written as POSCAR:
```
Dy7Si2Te2
1.0
6.8580 -0.0030 -0.3868
0.0029 7.0573 0.0033
-0.8134 -0.0025 6.8206
Te Dy Si
2 7 2
Cartesian
4.7046 7.0543 1.6425 Te
1.3430 -0.0025 4.7946 Te
3.0214 1.9124 3.2194 Dy
6.4504 1.9737 3.0268 Dy
3.0262 5.1394 3.2177 Dy
2.6203 5.0754 6.6280 Dy
3.4273 1.9764 -0.1909 Dy
-0.4028 5.0781 3.4103 Dy
0.0000 0.0000 0.0000 Dy
1.3059 3.5275 1.3901 Si
4.7416 3.5243 5.0470 Si
```

Computed properties:
Its calculated total energy is -4.80 eV/atom. For the density of states at the Fermi level, the calculation gives 11.3 states/eV/f.u.

4.
This record from Alexandria describes an optimized crystal structure of Mn2AlRe. The functional is PBE.

Cell and atoms, written as POSCAR:
```
Mn2AlRe
1.0
2.8752 0.0000 0.0000
0.0000 2.8752 0.0000
0.0000 0.0000 6.1435
Mn Al Re
2 1 1
Cartesian
0.0000 0.0000 0.1051 Mn
1.4376 1.4376 1.3970 Mn
1.4376 1.4376 4.7242 Al
0.0000 0.0000 2.9889 Re
```

Computed properties:
Its calculated total energy is -8.70 eV/atom. For the density of states at the Fermi level, the calculation gives 3.3 states/eV/f.u.

5.
This record from Alexandria describes an optimized crystal structure of K2Bi7Pb12. The functional is PBE.

Cell and atoms, written as POSCAR:
```
K2Bi7Pb12
1.0
-3.6697 -2.8091 -0.0370
5.6652 -7.2664 -10.2177
2.4955 -3.4323 13.0878
Bi Pb K
7 12 2
Cartesian
1.7648 -4.2994 -2.4334 Bi
2.7262 -9.2084 5.2665 Bi
-1.8349 -1.4045 -0.0185 Bi
4.5605 -7.9862 0.1865 Bi
-0.0763 -5.5828 7.9635 Bi
4.5673 -7.9250 -5.1303 Bi
-0.0696 -5.5216 2.6466 Bi
0.2467 -2.2016 2.4704 Pb
2.1402 -8.4558 -7.3622 Pb
5.9502 -9.6424 -2.4011 Pb
2.6124 -5.2385 -5.7060 Pb
4.2443 -11.3062 0.3628 Pb
2.3507 -5.0520 10.1954 Pb
1.9798 -8.3168 2.1014 Pb
-0.8938 -4.5835 -0.4321 Pb
1.8786 -8.2693 8.5391 Pb
2.5112 -5.1910 0.7318 Pb
-1.4592 -3.8654 5.2343 Pb
5.3847 -8.9243 3.2653 Pb
2.6802 -5.3778 5.3105 K
1.8108 -8.1300 -2.4774 K
```

Computed properties:
Its calculated total energy is -3.56 eV/atom. For the density of states at the Fermi level, the calculation gives 7.8 states/eV/f.u.

6.
This record from Alexandria describes an optimized crystal structure of AgMoBr2. The functional is PBE.

Cell and atoms, written as POSCAR:
```
AgMoBr2
1.0
3.7217 0.0000 0.0000
0.0000 7.2082 -0.5113
0.0000 5.4518 4.7804
Br Mo Ag
2 1 1
Cartesian
0.0000 4.8750 1.6436 Br
0.0000 1.4550 0.4910 Br
1.8608 3.1650 1.0673 Mo
1.8608 9.4950 3.2018 Ag
```

Computed properties:
Its calculated total energy is -4.02 eV/atom. For the density of states at the Fermi level, the calculation gives 1.9 states/eV/f.u. For the excess energy over the best structure of this formula in the dataset, the calculation gives 0.097 eV/atom.

7.
This record from Alexandria describes an optimized crystal structure of Li2CaSm2Si2. The functional is PBE.

Cell and atoms, written as POSCAR:
```
Li2CaSm2Si2
1.0
4.5553 0.0000 0.0000
2.2776 3.9450 0.0000
2.2776 1.3150 9.0783
Si Li Ca Sm
2 2 1 2
Cartesian
6.8329 3.9450 7.0012 Si
2.2776 1.3150 2.0771 Si
4.5553 2.6300 7.2301 Li
4.5553 2.6300 1.8482 Li
0.0000 0.0000 0.0000 Ca
6.8329 3.9450 3.4697 Sm
2.2776 1.3150 5.6085 Sm
```

Computed properties:
Its calculated total energy is -4.10 eV/atom. For the density of states at the Fermi level, the calculation gives 3.2 states/eV/f.u.

8.
This record from Alexandria describes an optimized crystal structure of NpTlPtAu. The functional is PBE.

Cell and atoms, written as POSCAR:
```
NpTlPtAu
1.0
4.9618 0.0000 0.0000
2.4809 4.2971 0.0000
2.4809 1.4324 4.0513
Au Np Tl Pt
1 1 1 1
Cartesian
7.4428 4.2971 3.0385 Au
4.9618 2.8647 2.0257 Np
0.0000 0.0000 0.0000 Tl
2.4809 1.4324 1.0128 Pt
```

Computed properties:
Its calculated total energy is -6.31 eV/atom. For the density of states at the Fermi level, the calculation gives 13.1 states/eV/f.u.

9.
This record from Alexandria describes an optimized crystal structure of BeS2ClO. The functional is PBE.

Cell and atoms, written as POSCAR:
```
BeS2ClO
1.0
4.1525 0.0000 0.0000
0.0000 4.1525 0.0000
0.0000 0.0000 4.4879
Cl Be S O
1 1 2 1
Cartesian
0.0000 0.0000 2.2439 Cl
2.0762 2.0762 2.2439 Be
2.0762 0.0000 0.0000 S
0.0000 2.0762 0.0000 S
0.0000 0.0000 0.0000 O
```

Computed properties:
Its calculated total energy is -2.80 eV/atom. For the density of states at the Fermi level, the calculation gives 3.1 states/eV/f.u. For the excess energy over the best structure of this formula in the dataset, the calculation gives 0.161 eV/atom.

10.
This record from Alexandria describes an optimized crystal structure of Tb4HoSi4. The functional is PBE.

Cell and atoms, written as POSCAR:
```
Tb4HoSi4
1.0
-4.8866 -3.1529 -0.1222
0.8228 -1.6143 8.7431
-4.7730 7.3277 1.8021
Tb Si Ho
8 8 2
Cartesian
-1.6839 -1.6181 6.0399 Tb
-4.5331 0.2388 1.2788 Tb
-1.9116 1.2841 7.9147 Tb
-7.7021 2.3252 6.5216 Tb
-3.2879 3.6233 2.5993 Tb
-5.5530 1.5157 9.1130 Tb
-5.9035 4.9848 4.4143 Tb
-4.7718 -2.1113 3.8105 Tb
-5.9371 2.2832 3.0954 Si
-8.1408 3.1720 3.7960 Si
-2.5978 -0.0444 3.5621 Si
-3.4347 3.5467 8.8632 Si
-1.8206 1.3247 1.6494 Si
-4.2774 -2.9222 6.5375 Si
-4.2047 -0.5646 7.2949 Si
-4.9339 3.4471 6.8936 Si
0.0000 0.0000 0.0000 Ho
-4.4184 1.2803 5.2115 Ho
```

Computed properties:
Its calculated total energy is -5.46 eV/atom. For the density of states at the Fermi level, the calculation gives 9.2 states/eV/f.u.

11.
This record from Alexandria describes an optimized crystal structure of SmSnHg. The functional is PBE.

Cell and atoms, written as POSCAR:
```
SmSnHg
1.0
-2.1084 0.1340 3.4491
-3.7295 -2.0727 -2.1993
3.3324 -2.7107 2.1424
Sn Sm Hg
1 1 1
Cartesian
0.4182 -2.4625 1.6116 Sn
-2.8267 -2.1932 1.6217 Sm
-0.0971 0.0062 0.1589 Hg
```

Computed properties:
Its calculated total energy is -3.52 eV/atom. For the density of states at the Fermi level, the calculation gives 1.2 states/eV/f.u.

12.
This record from Alexandria describes an optimized crystal structure of Ba2NdPt4Pb3. The functional is PBE.

Cell and atoms, written as POSCAR:
```
Ba2NdPt4Pb3
1.0
4.9067 0.0000 0.0000
0.0000 4.9067 0.0000
0.0000 0.0000 11.4269
Pb Nd Pt Ba
3 1 4 2
Cartesian
2.4534 0.0000 10.0897 Pb
0.0000 0.0000 5.7135 Pb
0.0000 2.4534 1.3372 Pb
2.4534 2.4534 5.7135 Nd
2.4534 2.4534 0.0000 Pt
0.0000 0.0000 0.0000 Pt
0.0000 2.4534 4.1151 Pt
2.4534 0.0000 7.3118 Pt
0.0000 2.4534 8.8459 Ba
2.4534 0.0000 2.5811 Ba
```

Computed properties:
Its calculated total energy is -5.01 eV/atom. For the density of states at the Fermi level, the calculation gives 5.3 states/eV/f.u.

Number 8 is which compound? NpTlPtAu

Which of these has the highest calculated total energy? BeS2ClO

Look up the calculated total energy of the twelfth one. -5.01 eV/atom

Which of these has the highest calculated total energy? BeS2ClO